Tm3CoAg (PBE, optimized geometry); spin magnetization = 0.0 μB per formula unit; crystal system = monoclinic; formation energy = -0.223 eV per atom
1.0
1.885 2.860 4.746
2.309 -3.305 4.242
8.508 0.553 0.395
Tm Ag Co
6 2 2
Cartesian
5.963 -0.312 8.839
8.724 0.340 3.180
6.739 0.419 0.544
8.755 0.062 6.621
3.977 -0.233 6.203
3.946 0.046 2.762
6.445 -1.320 4.579
6.256 1.428 4.804
2.016 0.945 4.589
2.177 -1.390 4.399

Tm3CoAg (PBE, optimized geometry); spin magnetization = 0.0 μB per formula unit; crystal system = cubic; formation energy = -0.074 eV per atom
1.0
-4.471 1.973 -1.363
-1.908 -4.674 -0.506
-1.452 0.067 4.861
Tm Co Ag
3 1 1
Cartesian
-2.236 0.987 -0.681
-0.954 -2.337 -0.253
-0.726 0.033 2.430
0.000 0.000 0.000
-3.916 -1.317 1.496

Tm4Co2Ag (PBE, optimized geometry); spin magnetization = 0.0 μB per formula unit; crystal system = triclinic; formation energy = -0.193 eV per atom
1.0
-8.362 0.645 1.368
1.796 -4.335 -5.488
3.219 -2.417 5.526
Co Tm Ag
4 8 2
Cartesian
2.512 -3.857 2.544
-3.782 -4.909 -0.872
-4.282 -1.010 0.091
-1.812 -2.943 2.048
-5.240 -2.702 -1.811
-0.596 -4.639 -3.692
0.171 -2.084 3.621
-3.298 -2.168 4.428
-5.976 -1.099 2.158
-4.305 -3.697 1.480
-2.035 -2.786 -0.783
0.413 -4.626 1.197
-0.184 -0.534 -0.199
0.833 -3.241 -1.417

Tm6CoAg (PBE, optimized geometry); spin magnetization = 0.0 μB per formula unit; crystal system = monoclinic; formation energy = 0.006 eV per atom
1.0
-6.408 -0.219 1.283
-0.933 -0.984 6.613
-0.490 4.872 4.101
Ag Tm Co
1 6 1
Cartesian
0.000 0.000 0.000
-2.006 -0.315 2.066
-4.998 1.505 3.133
-5.334 -0.888 5.830
-2.360 1.189 5.341
-5.471 2.480 6.657
-2.833 2.164 8.865
-3.670 -0.601 3.948

Tm3Co2Ag (PBE, optimized geometry); spin magnetization = 0.8 μB per formula unit; crystal system = tetragonal; formation energy = -0.277 eV per atom
1.0
-0.008 3.136 1.025
-3.064 -0.387 1.161
3.991 -3.096 9.506
Co Tm Ag
2 3 1
Cartesian
1.827 -1.234 9.102
-0.908 0.887 2.588
1.213 -0.941 2.890
0.000 0.000 0.000
2.778 -2.155 6.616
0.460 -0.173 5.845

Tm12Co6Ag (PBE, optimized geometry); spin magnetization = 0.0 μB per formula unit; crystal system = cubic; formation energy = -0.243 eV per atom
1.0
1.783 -4.385 -6.708
6.515 0.132 4.995
-6.366 -3.423 3.895
Tm Co Ag
12 6 1
Cartesian
-0.787 -3.817 5.663
0.232 -3.181 -1.181
-0.846 -2.510 2.133
1.700 -4.495 3.363
-1.588 -6.281 -2.298
3.520 -1.395 4.480
5.825 -3.611 0.532
-3.893 -4.065 1.650
-0.599 -5.754 0.970
2.531 -1.922 1.212
2.778 -5.166 0.048
2.719 -3.859 -3.481
1.026 -2.133 4.249
4.206 -3.395 2.569
0.906 -5.543 -2.067
3.623 -3.022 -1.179
-2.274 -4.281 -0.387
-1.691 -4.654 3.361
0.000 0.000 0.000

Tm3CoAg (PBE, optimized geometry); spin magnetization = 0.0 μB per formula unit; crystal system = monoclinic; formation energy = -0.237 eV per atom
1.0
-1.237 -3.435 0.625
7.512 -1.186 -2.619
2.839 0.354 7.568
Ag Co Tm
2 2 6
Cartesian
6.928 -2.418 0.071
1.647 -2.388 0.748
6.074 -3.274 4.654
5.341 -1.179 3.733
2.587 -0.371 2.726
8.827 -4.082 5.661
3.529 -2.213 5.442
3.975 -1.597 -1.265
4.600 -3.210 2.085
7.885 -2.240 2.945

TmCoAg (PBE, optimized geometry); spin magnetization = 0.6 μB per formula unit; crystal system = orthorhombic; formation energy = -0.250 eV per atom
1.0
-1.896 -1.981 -2.605
-0.730 -2.595 2.505
-6.471 5.177 0.774
Ag Tm Co
2 2 2
Cartesian
-3.652 -0.196 1.435
-5.445 0.797 -0.762
-2.786 -0.712 -1.550
-6.311 1.312 2.223
-7.786 2.126 -0.068
-1.311 -1.525 0.741

YTmCoAg (PBE, optimized geometry); spin magnetization = 0.6 μB per formula unit; crystal system = tetragonal; formation energy = -0.261 eV per atom
1.0
3.359 0.000 0.000
0.000 3.359 0.000
0.000 0.000 7.467
Ag Co Y Tm
1 1 1 1
Cartesian
0.000 0.000 0.590
0.000 0.000 4.211
1.680 1.680 5.903
1.680 1.680 2.622

YTmCoAg (PBE, optimized geometry); spin magnetization = 0.4 μB per formula unit; crystal system = cubic; formation energy = -0.195 eV per atom
1.0
4.915 0.000 0.000
2.457 4.256 0.000
2.457 1.419 4.013
Ag Tm Co Y
1 1 1 1
Cartesian
0.000 0.000 0.000
2.457 1.419 1.003
4.915 2.838 2.007
7.372 4.256 3.010

TmZrCoAg (PBE, optimized geometry); spin magnetization = 0.3 μB per formula unit; crystal system = cubic; formation energy = -0.112 eV per atom
1.0
-3.756 1.649 -2.469
0.196 0.243 -4.778
-2.620 -2.998 -2.659
Ag Co Tm Zr
1 1 1 1
Cartesian
-1.545 -0.277 -2.477
-4.635 -0.830 -7.430
0.000 0.000 0.000
-3.090 -0.553 -4.953

UCo4Ag (PBE, optimized geometry); spin magnetization = 2.7 μB per formula unit; crystal system = cubic; formation energy = 0.007 eV per atom
1.0
-0.639 2.050 4.423
3.114 -1.034 3.662
3.141 3.429 1.597
Co Ag U
4 1 1
Cartesian
3.831 1.752 3.838
1.938 1.062 5.253
1.952 3.296 4.219
3.511 2.779 6.053
0.000 0.000 0.000
1.404 1.111 2.420

VCoAg (PBE, optimized geometry); spin magnetization = 0.0 μB per formula unit; crystal system = orthorhombic; formation energy = 0.427 eV per atom
1.0
5.167 0.000 0.000
2.583 3.426 0.000
2.583 0.000 5.003
Ag Co V
2 2 2
Cartesian
5.167 1.253 0.000
2.583 2.173 0.000
2.583 0.000 1.339
5.167 0.000 3.664
3.875 1.713 2.502
6.458 1.713 2.502

V2Co2Ag (PBE, optimized geometry); spin magnetization = 0.0 μB per formula unit; crystal system = tetragonal; formation energy = 0.027 eV per atom
1.0
-1.020 5.353 -4.363
-6.899 -0.991 0.397
-0.121 1.676 2.085
Co V Ag
4 4 2
Cartesian
-6.369 1.113 -1.263
-5.242 4.025 -3.539
-1.550 3.250 -2.703
-2.677 0.338 -0.427
-6.525 3.543 -1.507
-1.515 2.496 -0.374
-4.782 1.044 0.604
-3.258 4.995 -2.485
-3.960 2.181 -1.983
0.000 0.000 0.000

V2Co2Ag (PBE, optimized geometry); spin magnetization = 0.0 μB per formula unit; crystal system = tetragonal; formation energy = 0.151 eV per atom
1.0
-0.616 -1.882 -6.887
-4.220 -5.480 1.875
-2.086 1.527 -0.231
V Ag Co
4 2 4
Cartesian
-3.837 -5.370 -0.853
-1.595 -2.226 -0.314
-3.241 -5.137 -4.698
-0.999 -1.993 -4.160
-2.418 -3.681 -2.506
0.000 0.000 0.000
-3.061 -2.781 -5.332
-5.043 -5.131 -2.967
-3.861 -3.054 0.088
-1.878 -0.704 -2.277

V2Co2Ag (PBE, optimized geometry); spin magnetization = 0.0 μB per formula unit; crystal system = tetragonal; formation energy = 0.178 eV per atom
1.0
-3.686 1.273 0.218
-1.146 -3.528 1.223
-1.707 0.170 5.129
V Co Ag
2 2 1
Cartesian
-3.905 0.158 3.034
-2.635 -2.243 3.536
-2.247 -0.817 1.774
-4.293 -1.267 4.796
0.000 0.000 0.000

VCo3Ag (PBE, optimized geometry); spin magnetization = 8.9 μB per formula unit; crystal system = cubic; formation energy = 1.899 eV per atom
1.0
-4.464 -0.094 1.048
-0.735 -2.994 -3.395
0.754 -3.473 2.899
Co V Ag
3 1 1
Cartesian
-0.367 -1.497 -1.698
0.377 -1.736 1.449
-2.232 -0.047 0.524
-2.222 -3.280 0.276
0.000 0.000 0.000

VCo2Ag (PBE, optimized geometry); spin magnetization = 0.0 μB per formula unit; crystal system = tetragonal; formation energy = 0.502 eV per atom
1.0
6.475 0.000 0.000
0.000 6.475 0.000
3.237 3.237 2.650
Co V Ag
4 2 2
Cartesian
4.588 1.619 0.663
1.887 4.856 0.663
8.094 7.825 1.988
4.856 5.124 1.988
3.237 3.237 0.000
3.237 6.475 1.325
0.000 0.000 0.000
6.475 3.237 1.325

V2CoAg (PBE, optimized geometry); spin magnetization = 2.7 μB per formula unit; crystal system = cubic; formation energy = 0.429 eV per atom
1.0
3.671 0.885 2.074
0.096 -0.003 4.307
2.092 -3.123 2.106
V Co Ag
2 1 1
Cartesian
4.394 -1.681 6.365
1.465 -0.560 2.122
0.000 0.000 0.000
2.929 -1.120 4.243

V2CoAg (PBE, optimized geometry); spin magnetization = 0.0 μB per formula unit; crystal system = tetragonal; formation energy = 0.717 eV per atom
1.0
-2.918 1.844 1.127
-2.142 -2.721 -1.093
-1.821 -4.215 8.033
V Co Ag
4 2 2
Cartesian
-5.741 -3.862 6.081
-2.229 -2.479 1.494
-2.476 -0.286 2.549
-3.315 -3.556 6.011
-2.530 -0.438 0.017
-3.246 -3.687 3.479
-3.634 -1.404 4.588
0.000 0.000 0.000

VCo2Ag (PBE, optimized geometry); spin magnetization = 0.0 μB per formula unit; crystal system = cubic; formation energy = 0.262 eV per atom
1.0
0.000 2.944 2.944
2.944 0.000 2.944
2.944 2.944 0.000
Ag Co V
1 2 1
Cartesian
2.944 2.944 2.944
4.416 4.416 4.416
1.472 1.472 1.472
0.000 0.000 0.000

CoAgW2 (PBE, optimized geometry); spin magnetization = 0.6 μB per formula unit; crystal system = monoclinic; formation energy = 0.476 eV per atom
1.0
4.318 0.000 0.000
0.000 2.687 0.004
0.000 0.693 5.212
Co W Ag
1 2 1
Cartesian
2.159 2.215 4.097
0.000 0.688 5.059
2.159 0.799 1.282
0.000 2.062 2.597

Co4AgW (PBE, optimized geometry); spin magnetization = 2.8 μB per formula unit; crystal system = cubic; formation energy = 0.227 eV per atom
1.0
0.087 1.144 4.572
0.703 4.478 1.296
-3.535 2.494 1.873
Co Ag W
4 1 1
Cartesian
-0.986 3.616 5.188
-2.795 4.290 3.840
-1.030 3.045 2.904
-0.679 5.281 3.551
0.000 0.000 0.000
-2.059 6.087 5.806

CoAgW (PBE, optimized geometry); spin magnetization = 0.3 μB per formula unit; crystal system = trigonal; formation energy = 0.419 eV per atom
1.0
-1.184 1.806 1.719
0.989 -2.387 0.972
6.059 2.948 1.074
Ag Co W
1 1 1
Cartesian
0.078 0.038 0.014
2.384 0.042 1.597
3.403 2.288 2.155

Co2AgW (PBE, optimized geometry); spin magnetization = 1.1 μB per formula unit; crystal system = cubic; formation energy = 0.389 eV per atom
1.0
0.000 2.993 2.993
2.993 0.000 2.993
2.993 2.993 0.000
Co Ag W
2 1 1
Cartesian
1.496 1.496 1.496
4.489 4.489 4.489
0.000 0.000 0.000
2.993 2.993 2.993

Co2AgW (PBE, optimized geometry); spin magnetization = 1.8 μB per formula unit; crystal system = monoclinic; formation energy = 0.443 eV per atom
1.0
-0.626 0.352 4.383
-0.915 -2.257 3.715
4.647 -0.905 1.522
W Ag Co
1 1 2
Cartesian
2.330 -2.107 7.215
0.777 -0.702 2.405
4.465 -0.881 1.508
1.736 -1.429 4.825